Entry 1:
VASP calculation (PBE) on crystalline Tb3CuRu at its relaxed geometry.

Spin magnetization ... 0.00 μB per atom
E_form ... -0.25 eV/atom
Space group ... P2_1/m, No. 11

```
Tb3CuRu
1.0
6.559 0.000 0.000
0.000 4.069 0.000
-0.018 0.000 9.003
Tb Cu Ru
6 2 2
direct
0.218 0.250 0.059
0.218 0.250 0.441
0.267 0.750 0.750
0.733 0.250 0.250
0.782 0.750 0.559
0.782 0.750 0.941
0.425 0.750 0.250
0.575 0.250 0.750
0.024 0.750 0.250
0.976 0.250 0.750
```

=====

Entry 2:
VASP calculation (PBE) on crystalline ScTl2In at its relaxed geometry.

Spin magnetization ... 0.00 μB per atom
E_form ... -0.01 eV/atom
Space group ... Cmm2, No. 35

```
ScTl2In
1.0
1.792 -2.844 0.000
1.792 2.844 0.000
0.000 0.000 10.605
Sc Tl In
1 2 1
direct
0.000 0.000 0.000
0.000 0.000 0.493
0.500 0.500 0.763
0.500 0.500 0.230
```

=====

Entry 3:
VASP calculation (PBE) on crystalline Na5Sn10Hg2 at its relaxed geometry.

Spin magnetization ... 0.00 μB per atom
E_form ... -0.17 eV/atom
Space group ... Pbcn, No. 60

```
Na5Sn10Hg2
1.0
13.275 0.000 0.000
0.000 11.102 0.000
0.000 0.000 13.333
Na Sn Hg
20 40 8
direct
0.000 0.232 0.250
0.000 0.768 0.750
0.126 0.460 0.095
0.126 0.540 0.595
0.167 0.056 0.394
0.167 0.944 0.894
0.333 0.444 0.894
0.333 0.556 0.394
0.374 0.040 0.595
0.374 0.960 0.095
0.500 0.268 0.750
0.500 0.732 0.250
0.626 0.040 0.905
0.626 0.960 0.405
0.667 0.444 0.606
0.667 0.556 0.106
0.833 0.056 0.106
0.833 0.944 0.606
0.874 0.460 0.405
0.874 0.540 0.905
0.000 0.238 0.525
0.000 0.238 0.975
0.000 0.762 0.025
0.000 0.762 0.475
0.082 0.057 0.665
0.082 0.943 0.165
0.083 0.405 0.826
0.083 0.595 0.326
0.188 0.149 0.066
0.188 0.851 0.566
0.228 0.232 0.744
0.228 0.768 0.244
0.272 0.268 0.244
0.272 0.732 0.744
0.312 0.351 0.566
0.312 0.649 0.066
0.417 0.095 0.326
0.417 0.905 0.826
0.418 0.443 0.165
0.418 0.557 0.665
0.500 0.262 0.025
0.500 0.262 0.475
0.500 0.738 0.525
0.500 0.738 0.975
0.582 0.443 0.335
0.582 0.557 0.835
0.583 0.095 0.174
0.583 0.905 0.674
0.688 0.351 0.934
0.688 0.649 0.434
0.728 0.268 0.256
0.728 0.732 0.756
0.772 0.232 0.756
0.772 0.768 0.256
0.812 0.149 0.434
0.812 0.851 0.934
0.917 0.405 0.674
0.917 0.595 0.174
0.918 0.057 0.835
0.918 0.943 0.335
0.149 0.362 0.405
0.149 0.638 0.905
0.351 0.138 0.905
0.351 0.862 0.405
0.649 0.138 0.595
0.649 0.862 0.095
0.851 0.362 0.095
0.851 0.638 0.595
```

=====

Entry 4:
VASP calculation (PBE) on crystalline HoSi3Tc2 at its relaxed geometry.

Spin magnetization ... 0.00 μB per atom
Formation energy without anion corrections ... -0.55 eV per atom
Space group ... Cmcm, No. 63

```
HoSi3Tc2
1.0
4.627 -3.622 0.000
4.627 3.622 0.000
0.000 0.000 5.845
Ho Si Tc
2 6 4
direct
0.155 0.845 0.750
0.845 0.155 0.250
0.047 0.630 0.250
0.370 0.953 0.250
0.457 0.543 0.250
0.543 0.457 0.750
0.630 0.047 0.750
0.953 0.370 0.750
0.289 0.289 0.000
0.289 0.289 0.500
0.711 0.711 0.000
0.711 0.711 0.500
```

=====

Entry 5:
VASP calculation (PBE) on crystalline PuSn2Br6 at its relaxed geometry.

Spin magnetization ... 0.64 μB per atom
Formation energy without anion corrections ... -0.98 eV per atom
Space group ... C2/m, No. 12

```
PuSn2Br6
1.0
7.675 -2.214 0.000
7.675 2.214 0.000
-1.746 0.000 10.102
Pu Sn Br
1 2 6
direct
0.000 0.000 0.000
0.319 0.319 0.676
0.681 0.681 0.324
0.046 0.046 0.296
0.321 0.321 0.395
0.370 0.370 0.998
0.630 0.630 0.002
0.679 0.679 0.605
0.954 0.954 0.704
```

=====

Entry 6:
VASP calculation (PBE) on crystalline RbBi2Pd2 at its relaxed geometry.

Spin magnetization ... 0.00 μB per atom
E_form ... -0.23 eV/atom
Space group ... I4/mmm, No. 139

```
RbBi2Pd2
1.0
-2.521 2.521 5.581
2.521 -2.521 5.581
2.521 2.521 -5.581
Rb Bi Pd
1 2 2
direct
0.000 0.000 0.000
0.250 0.750 0.500
0.750 0.250 0.500
0.366 0.366 0.000
0.634 0.634 0.000
```

=====

| no. | V (Å³/atom) |
| --- | --- |
| 1 | 24.03 |
| 2 | 27.02 |
| 3 | 28.90 |
| 4 | 16.33 |
| 5 | 38.15 |
| 6 | 28.37 |